A relaxed Ba6Sr8Ac crystal. Source: Alexandria, functional PBE.

Cell and atoms, written as POSCAR:
```
Ba6Sr8Ac
1.0
9.5008 0.3012 4.8225
3.0891 8.9897 4.8225
0.4081 0.3012 10.6469
Sr Ba Ac
8 6 1
Cartesian
9.4387 3.2861 7.8303 Sr
3.5593 6.3060 12.4615 Sr
4.0736 2.0568 11.8481 Sr
8.3616 1.5418 11.6374 Sr
8.9245 7.5353 8.4437 Sr
7.4850 5.5236 11.6851 Sr
4.6365 8.0503 8.6544 Sr
5.5131 4.0684 8.6067 Sr
10.5863 4.6078 14.5024 Ba
6.9821 7.0000 15.6803 Ba
6.0159 2.5920 4.6115 Ba
2.9703 0.8350 7.3930 Ba
10.0278 8.7571 12.8988 Ba
2.4118 4.9842 5.7893 Ba
0.0000 0.0000 0.0000 Ac
```

Output
The calculation puts the volume at 873.0 Å³/cell. Its formation energy is 0.07 eV per atom. The value obtained for the calculated total energy is -0.1378 Ry per atom.

---

A relaxed Ba2Sr6Ac crystal. Source: Alexandria, functional PBE.

Cell and atoms, written as POSCAR:
```
Ba2Sr6Ac
1.0
4.4449 0.2502 0.3523
0.4675 11.6091 -1.7132
0.4675 -5.4430 10.3962
Sr Ba Ac
6 2 1
Cartesian
1.3757 6.9517 3.8514 Sr
1.3757 1.3456 7.8326 Sr
3.5846 4.3153 6.0767 Sr
4.0042 -0.5354 5.1839 Sr
4.0042 5.0708 1.2028 Sr
1.7953 2.1011 2.9587 Sr
2.6899 8.9866 0.4142 Ba
2.6899 -2.5703 8.6212 Ba
0.0000 0.0000 0.0000 Ac
```

Output
The distance to the lowest polymorph of the same formula comes out at 4 meV per atom. The calculation puts the volume at 490.8 Å³/cell. Its formation energy is 0.06 eV per atom. The value obtained for the calculated total energy is -0.1429 Ry per atom.

---

A relaxed BaSr2Ac2 crystal. Source: Alexandria, functional PBE.

Cell and atoms, written as POSCAR:
```
BaSr2Ac2
1.0
-3.6305 1.6605 -1.0674
0.3543 -1.6501 -3.7721
-5.4976 -12.5187 7.2236
Ac Sr Ba
2 2 1
Cartesian
-5.8058 -7.3036 0.3861 Ac
-2.9679 -5.2047 1.9981 Ac
-3.1997 -2.7333 -1.3685 Sr
-5.5741 -9.7750 3.7526 Sr
0.0000 0.0000 0.0000 Ba
```

Output
The calculation puts the volume at 259.3 Å³/cell. Its formation energy is 0.03 eV per atom. The value obtained for the calculated total energy is -0.1964 Ry per atom.

---

A relaxed Ba2SrAc crystal. Source: Alexandria, functional PBE.

Cell and atoms, written as POSCAR:
```
Ba2SrAc
1.0
4.7170 0.0000 0.0000
0.0000 6.7856 0.0000
0.0000 0.0000 6.7856
Ba Sr Ac
2 1 1
Cartesian
0.0000 3.3928 0.0000 Ba
0.0000 0.0000 3.3928 Ba
2.3585 0.0000 0.0000 Sr
2.3585 3.3928 3.3928 Ac
```

Output
The distance to the lowest polymorph of the same formula comes out at 23 meV per atom. The calculation puts the volume at 217.2 Å³/cell. Its formation energy is 0.08 eV per atom. The value obtained for the calculated total energy is -0.1711 Ry per atom.

---

A relaxed Ba2Sr5Ac crystal. Source: Alexandria, functional PBE.

Cell and atoms, written as POSCAR:
```
Ba2Sr5Ac
1.0
-1.7932 -3.0773 -1.5317
8.9732 0.3128 -6.2270
10.2870 -13.0468 14.1683
Sr Ba Ac
10 4 2
Cartesian
13.1002 -11.1879 2.2334 Sr
4.7305 -1.6873 -2.1482 Sr
4.3667 -4.6233 4.1762 Sr
9.8584 -10.1104 8.7706 Sr
15.0514 -13.6625 4.9206 Sr
8.1376 -6.0085 2.5444 Sr
9.3294 -9.8028 3.8652 Sr
7.6086 -5.7009 -2.3610 Sr
12.7365 -14.1239 8.5578 Sr
2.4156 -2.1488 1.4890 Sr
10.4792 -8.5816 0.0657 Ba
6.9878 -7.2296 6.3439 Ba
6.0994 -3.0268 -5.9666 Ba
11.3676 -12.7844 12.3762 Ba
5.7918 -3.7504 0.7541 Ac
11.6751 -12.0608 5.6555 Ac
```

Output
The calculation puts the volume at 910.3 Å³/cell. Its formation energy is 0.25 eV per atom. The value obtained for the calculated total energy is -0.1318 Ry per atom.

---

A relaxed Ba5Sr6Ac crystal. Source: Alexandria, functional PBE.

Cell and atoms, written as POSCAR:
```
Ba5Sr6Ac
1.0
-6.0508 1.2284 0.5091
-1.3013 -9.4876 7.3991
5.3816 9.5237 3.2570
Sr Ba Ac
6 5 1
Cartesian
-4.0139 -6.5930 5.8753 Sr
-1.5459 6.6646 3.2162 Sr
-2.2103 1.8205 6.9941 Sr
2.0434 7.8576 5.2899 Sr
0.2398 -0.5559 4.1711 Sr
-0.4246 -5.4000 7.9489 Sr
-0.6507 -4.7438 3.6995 Ba
0.4973 -1.1135 8.5527 Ba
-2.4678 2.3781 2.6125 Ba
-3.1113 -2.3434 6.3411 Ba
1.1408 3.6080 4.8241 Ba
0.0000 0.0000 0.0000 Ac
```

Output
The calculation puts the volume at 687.2 Å³/cell. Its formation energy is 0.04 eV per atom. The value obtained for the calculated total energy is -0.1426 Ry per atom.

---

A relaxed BaSr9Ac4 crystal. Source: Alexandria, functional PBE.

Cell and atoms, written as POSCAR:
```
BaSr9Ac4
1.0
-7.4380 -4.9996 -9.2674
9.1158 -0.0608 -7.2835
-2.1496 -9.2837 6.7336
Sr Ac Ba
18 8 2
Cartesian
-2.9944 -6.4186 -3.6942 Sr
2.5227 -7.9255 -6.1231 Sr
-0.8216 -4.5494 -10.3369 Sr
-0.2326 -4.2296 -5.9056 Sr
1.7984 -8.0639 -10.5437 Sr
5.7497 -5.7564 -2.1023 Sr
-2.2701 -6.2802 0.7265 Sr
0.3499 -9.7947 0.5197 Sr
6.6000 -2.0845 -4.7656 Sr
3.3729 -4.2536 -8.7864 Sr
-3.4662 -12.2837 -7.9324 Sr
-1.6301 -8.0410 -7.8044 Sr
1.1584 -6.3031 -2.0129 Sr
2.9944 -2.0604 -1.8848 Sr
-0.2392 -10.1145 -3.9116 Sr
-3.8447 -10.0905 -1.0309 Sr
-6.2215 -8.5877 -7.7150 Sr
-7.0717 -12.2596 -5.0517 Sr
-3.9059 -4.7278 -7.7652 Ac
0.8868 -11.1569 -8.1435 Ac
3.4342 -9.6163 -2.0520 Ac
-1.3586 -3.1872 -1.6737 Ac
-3.7190 -2.4998 -4.6337 Ac
0.0000 0.0000 0.0000 Ac
-2.8375 -9.5744 2.9590 Ac
2.3657 -4.7697 -12.7763 Ac
-3.9729 -9.9591 -4.8893 Ba
3.5012 -4.3850 -4.9280 Ba
```

Output
The calculation puts the volume at 1520.1 Å³/cell. Its formation energy is 0.14 eV per atom. The value obtained for the calculated total energy is -0.1653 Ry per atom.

---

A relaxed Ba4Sr15Ac crystal. Source: Alexandria, functional PBE.

Cell and atoms, written as POSCAR:
```
Ba4Sr15Ac
1.0
6.1361 0.0000 0.0000
0.0000 6.1361 0.0000
0.0000 0.0000 29.6501
Sr Ba Ac
15 4 1
Cartesian
0.0000 3.0680 8.7573 Sr
3.0680 3.0680 17.8567 Sr
0.0000 3.0680 20.8928 Sr
3.0680 0.0000 8.7573 Sr
3.0680 3.0680 23.9096 Sr
0.0000 3.0680 2.7231 Sr
3.0680 0.0000 14.8251 Sr
3.0680 3.0680 5.7405 Sr
3.0680 3.0680 0.0000 Sr
3.0680 0.0000 20.8928 Sr
3.0680 0.0000 26.9271 Sr
3.0680 0.0000 2.7231 Sr
3.0680 3.0680 11.7934 Sr
0.0000 3.0680 26.9271 Sr
0.0000 3.0680 14.8251 Sr
0.0000 0.0000 5.7119 Ba
0.0000 0.0000 17.8590 Ba
0.0000 0.0000 23.9382 Ba
0.0000 0.0000 11.7911 Ba
0.0000 0.0000 0.0000 Ac
```

Output
The calculation puts the volume at 1116.4 Å³/cell. Its formation energy is 0.02 eV per atom. The value obtained for the calculated total energy is -0.1344 Ry per atom.

---

- The highest volume belongs to which entry?
  BaSr9Ac4

---

- volume of number 6 (Ba5Sr6Ac)?
  687.2 Å³/cell